1.
# LiTl2Cl

LiTl2Cl after structural relaxation (PBE-GGA, the Alexandria database).

## Properties
Fermi-level density of states: 2.488 states/eV per cell
magnetization: 0.00 μB per formula unit
formation energy from raw total energies: -0.437 eV/atom
E above lowest polymorph: 305 meV per atom
calculated density: 6.4 g/cm3
total energy: -2.560 eV/atom

Cell: 4.2997 4.2997 6.3566 Å, 90.00 90.00 90.00°
Space group P4/mmm (No. 123)
Asymmetric unit:
Li 0.0000 0.0000 0.0000 x1
Tl 0.0000 0.5000 0.5000 x2
Cl 0.5000 0.5000 0.0000 x1



2.
# MnTlHg

MnTlHg after structural relaxation (PBE-GGA, the Alexandria database).

## Properties
Fermi-level density of states: 7.770 states/eV per cell
magnetization: 3.67 μB per formula unit
E_form: 403 meV per atom
E above lowest polymorph: 49 meV per atom
calculated density: 10.6 g/cm3
total energy: -3.542 eV/atom

Cell: 6.6056 6.6056 6.6056 Å, 90.00 90.00 90.00°
Space group F-43m (No. 216)
Asymmetric unit:
Mn 0.0000 0.0000 0.0000 x4
Tl 0.2500 0.2500 0.2500 x4
Hg 0.2500 0.2500 0.7500 x4



3.
# TaPt2Rh8

TaPt2Rh8 after structural relaxation (PBE-GGA, the Alexandria database).

## Properties
Fermi-level density of states: 33.111 states/eV per cell
magnetization: 0.00 μB per formula unit
E_form: 28 meV per atom
calculated density: 13.4 g/cm3
total energy: -7.494 eV/atom

Cell: 8.0190 10.3652 4.1686 Å, 90.00 90.00 90.00°
Space group Cmmm (No. 65)
Asymmetric unit:
Ta 0.0000 0.0000 0.0000 x2
Pt 0.0000 0.3767 0.5000 x4
Rh 0.0000 0.2446 0.0000 x4
Rh 0.1646 0.1303 0.5000 x8
Rh 0.1723 0.5000 0.0000 x4



4.
# NpInP

NpInP after structural relaxation (PBE-GGA, the Alexandria database).

## Properties
Fermi-level density of states: 15.383 states/eV per cell
magnetization: 0.00 μB per formula unit
E_form: -255 meV per atom
calculated density: 9.6 g/cm3
total energy: -7.284 eV/atom

Cell: 3.7994 18.3601 3.8118 Å, 90.00 90.00 90.00°
Space group Cmcm (No. 63)
Asymmetric unit:
Np 0.0000 0.0404 0.2500 x4
In 0.0000 0.2037 0.7500 x4
P 0.0000 0.4193 0.2500 x4